Density functional theory data (GGA-PBE) for an optimized crystal structure of LiSi2Pt. Values from VASP.

Summary:
Formation energy from raw total energies (eV per atom): -0.488
DOS(E_F) (states/eV/f.u.): 0.7
Energy relative to the lowest polymorph listed for this composition (meV/atom): 0.0
Total magnetization (μB per atom): 0.0000
Space-group type: Pnma (62)

Quantum ESPRESSO input file:
```
&SYSTEM
  ibrav = 0, nat = 32, ntyp = 3
/
ATOMIC_SPECIES
Li 6.94 Li.upf
Si 28.09 Si.upf
Pt 195.08 Pt.upf
ATOMIC_POSITIONS angstrom
Li 2.341 1.613 2.290
Li 4.792 4.838 5.394
Li 2.561 4.838 13.079
Li 0.110 1.613 9.974
Li 3.439 1.613 6.074
Li 0.988 4.838 1.610
Li 1.463 4.838 9.295
Li 3.914 1.613 13.758
Si 4.711 0.339 3.331
Si 2.260 6.111 4.354
Si 0.191 3.564 12.038
Si 2.642 2.886 11.015
Si 0.191 6.111 12.038
Si 2.642 0.339 11.015
Si 4.711 2.886 3.331
Si 2.260 3.564 4.354
Si 3.544 3.531 0.423
Si 1.093 2.919 7.261
Si 1.358 0.306 14.946
Si 3.809 6.144 8.107
Si 1.358 2.919 14.946
Si 3.809 3.531 8.107
Si 3.544 6.144 0.423
Si 1.093 0.306 7.261
Pt 0.947 1.613 5.179
Pt 3.398 4.838 2.505
Pt 3.955 4.838 10.190
Pt 1.504 1.613 12.863
Pt 4.876 1.613 1.194
Pt 2.425 4.838 6.490
Pt 0.026 4.838 14.174
Pt 2.477 1.613 8.878
CELL_PARAMETERS angstrom
4.902 0.000 0.000
0.000 6.450 0.000
0.000 0.000 15.368
```